1.
A plane-wave DFT calculation with PBE was carried out for a relaxed structure of LiDy2ScIn4.

a = 5.1342 Å, b = 5.1342 Å, c = 25.4879 Å
α = 90.00°, β = 90.00°, γ = 120.00°
Closest atoms and distances in Å follow each position.
Space group R-3m (No. 166, hexagonal axes)
Unique sites:
Li  0.0000  0.0000  0.0000 (multiplicity 3)  8 In 3.15-3.19
Dy  0.0000  0.0000  0.2532 (multiplicity 6)  8 In 3.11-3.27
Sc  0.0000  0.0000  0.5000 (multiplicity 3)  8 In 3.15-3.18
In  0.0000  0.0000  0.1250 (multiplicity 6)  3 Sc 3.15, 4 Dy 3.18-3.27, 1 Li 3.19
In  0.0000  0.0000  0.3752 (multiplicity 6)  4 Dy 3.11-3.12, 3 Li 3.15, 1 Sc 3.18

Properties
- D(E_F) (states/eV/atom) = 0.532
- E_form (kcal/mol of atoms) = -9.36

***

2.
A plane-wave DFT calculation with PBE was carried out for a relaxed structure of Er8AuSe4S3.

a = 7.9680 Å, b = 7.9680 Å, c = 19.7345 Å
α = 90.00°, β = 90.00°, γ = 120.00°
Closest atoms and distances in Å follow each position.
Space group R-3m (No. 166, hexagonal axes)
Unique sites:
Er  0.0000  0.0000  0.2418 (multiplicity 6)  3 S 2.74, 3 Se 2.92
Er  0.0055  0.5027  0.7549 (multiplicity 18)  2 S 2.76, 1 Au 2.80, 3 Se 2.85-2.90
Au  0.0000  0.0000  0.5000 (multiplicity 3)  6 Er 2.80
Se  0.0000  0.0000  0.0000 (multiplicity 3)  6 Er 2.85
Se  0.0000  0.5000  0.0000 (multiplicity 9)  6 Er 2.90-2.92
S  0.0000  0.5000  0.5000 (multiplicity 9)  6 Er 2.74-2.76

Properties
- uncorrected formation energy (eV/atom) = -1.6885
- D(E_F) (states/eV/atom) = 0.410

***

3.
A plane-wave DFT calculation with PBE was carried out for a relaxed structure of La5P4O.

a = 4.2017 Å, b = 4.2017 Å, c = 29.2228 Å
α = 90.00°, β = 90.00°, γ = 90.00°
Closest atoms and distances in Å follow each position.
Space group I4/mmm (No. 139)
Unique sites:
La  0.0000  0.0000  0.0000 (multiplicity 2)  2 P 2.81, 4 O 2.97
La  0.0000  0.0000  0.1994 (multiplicity 4)  6 P 2.97-3.04
La  0.0000  0.0000  0.4070 (multiplicity 4)  1 O 2.72, 5 P 2.97-3.03
P  0.0000  0.0000  0.0961 (multiplicity 4)  6 La 2.81-3.02
P  0.0000  0.0000  0.3034 (multiplicity 4)  6 La 2.97-3.04
O  0.0000  0.0000  0.5000 (multiplicity 2)  6 La 2.72-2.97

Properties
- uncorrected formation energy (eV/atom) = -1.7490
- D(E_F) (states/eV/atom) = 0.246

***

4.
A plane-wave DFT calculation with PBE was carried out for a relaxed structure of KNb2Pb2.

a = 9.1365 Å, b = 9.1365 Å, c = 3.0595 Å
α = 90.00°, β = 90.00°, γ = 90.00°
Closest atoms and distances in Å follow each position.
Space group P4/mbm (No. 127)
Unique sites:
K  0.0000  0.0000  0.0000 (multiplicity 2)  2 K 3.06, 4 Pb 3.35
Nb  0.1028  0.3972  0.5000 (multiplicity 4)  1 Nb 2.66
Pb  0.1815  0.6815  0.0000 (multiplicity 4)  2 Pb 3.06, 6 Nb 3.10-3.18, 2 K 3.35

Properties
- D(E_F) (states/eV/atom) = 1.163
- E_form (kcal/mol of atoms) = 8.68

***

5.
A plane-wave DFT calculation with PBE was carried out for a relaxed structure of BaGa2Pt.

a = 5.4252 Å, b = 5.4252 Å, c = 16.0845 Å
α = 90.00°, β = 90.00°, γ = 90.00°
Closest atoms and distances in Å follow each position.
Space group I4_1/amd (No. 141, origin choice 2)
Unique sites:
Ba  0.0000  0.2500  0.3750 (multiplicity 4)  8 Ga 3.64, 4 Pt 3.84
Ga  0.0000  0.0000  0.0000 (multiplicity 8)  2 Pt 2.43, 2 Ga 2.71
Pt  0.0000  0.2500  0.8750 (multiplicity 4)  4 Ga 2.43

Properties
- D(E_F) (states/eV/atom) = 0.452
- E_form (kcal/mol of atoms) = -12.52

***

6.
A plane-wave DFT calculation with PBE was carried out for a relaxed structure of Nd2Sm3Dy7.

a = 5.8466 Å, b = 3.5905 Å, c = 18.8915 Å
α = 90.00°, β = 93.24°, γ = 90.00°
Closest atoms and distances in Å follow each position.
Space group P2/m (No. 10)
Unique sites:
Nd  0.2084  0.0000  0.2929 (multiplicity 2)  3 Dy 3.19-3.37
Sm  0.0000  0.0000  0.0000 (multiplicity 1)  8 Dy 3.36-3.43, 2 Sm 3.59
Sm  0.2787  0.5000  0.6312 (multiplicity 2)  2 Sm 3.59, 6 Dy 3.66-3.87, 4 Nd 3.71-3.72
Dy  0.1868  0.5000  0.1420 (multiplicity 2)  7 Dy 3.33-3.59, 2 Sm 3.36, 2 Nd 3.37
Dy  0.2423  0.0000  0.4621 (multiplicity 2)  1 Nd 3.19, 2 Dy 3.25-3.26
Dy  0.3114  0.0000  0.8272 (multiplicity 2)  8 Dy 3.46-3.83, 2 Nd 3.69-3.71, 1 Sm 3.83
Dy  0.5000  0.5000  0.0000 (multiplicity 1)  4 Dy 3.33-3.59, 4 Sm 3.43

Properties
- D(E_F) (states/eV/atom) = 1.233
- E_form (kcal/mol of atoms) = 1.98

***

7.
A plane-wave DFT calculation with PBE was carried out for a relaxed structure of LuPuCo4.

a = 7.0799 Å, b = 7.0799 Å, c = 7.0799 Å
α = 90.00°, β = 90.00°, γ = 90.00°
Closest atoms and distances in Å follow each position.
Space group F-43m (No. 216)
Unique sites:
Lu  0.0000  0.0000  0.0000 (multiplicity 4)  12 Co 2.94, 4 Pu 3.07
Pu  0.2500  0.2500  0.2500 (multiplicity 4)  12 Co 2.94, 4 Lu 3.07
Co  0.1251  0.1251  0.6251 (multiplicity 16)  6 Co 2.50

Properties
- D(E_F) (states/eV/atom) = 1.381
- E_form (kcal/mol of atoms) = -5.19

***

Number 1: size of the total moment 0.000 μB/atom. Number 2: size of the total moment 0.000 μB/atom. Number 3: size of the total moment 0.000 μB/atom. Number 4: size of the total moment 0.000 μB/atom. Number 5: size of the total moment 0.000 μB/atom. Number 6: size of the total moment 0.000 μB/atom. Number 7: size of the total moment 0.205 μB/atom.